# SCAN LaHg, PBEsol geometry
data_LaHg
_symmetry_space_group_name_H-M 'P 1'
_symmetry_Int_Tables_number 1
_cell_length_a 6.671
_cell_length_b 9.254
_cell_length_c 11.098
_cell_angle_alpha 90.00
_cell_angle_beta 90.00
_cell_angle_gamma 90.00
loop_
_symmetry_equiv_pos_as_xyz
'x,y,z'
loop_
_atom_site_label
_atom_site_fract_x
_atom_site_fract_y
_atom_site_fract_z
Hg1 0.750 0.045 0.423
Hg2 0.250 0.955 0.577
Hg3 0.250 0.387 0.867
Hg4 0.500 0.750 0.925
La1 0.500 0.250 0.613
La2 0.750 0.954 0.124
La3 0.250 0.639 0.686
La4 0.250 0.139 0.314
La5 0.250 0.546 0.124
Hg5 0.750 0.545 0.577
La6 0.750 0.361 0.314
La7 0.500 0.750 0.387
Hg6 0.000 0.250 0.075
Hg7 0.500 0.250 0.075
Hg8 0.750 0.113 0.867
La8 0.750 0.454 0.876
La9 0.000 0.750 0.387
Hg9 0.750 0.613 0.133
Hg10 0.250 0.455 0.423
La10 0.000 0.250 0.613
La11 0.750 0.861 0.686
Hg11 0.000 0.750 0.925
La12 0.250 0.046 0.876
Hg12 0.250 0.887 0.133
# - Final energy: -56.28 eV per atom
# - Total magnetization: 0.0 μB per formula unit
# - Energy of formation: -0.648 eV/atom
# - Crystal system: orthorhombic


# SCAN La3Hg5, PBEsol geometry
data_La3Hg5
_symmetry_space_group_name_H-M 'P 1'
_symmetry_Int_Tables_number 1
_cell_length_a 5.926
_cell_length_b 9.031
_cell_length_c 9.031
_cell_angle_alpha 83.82
_cell_angle_beta 70.85
_cell_angle_gamma 70.85
loop_
_symmetry_equiv_pos_as_xyz
'x,y,z'
loop_
_atom_site_label
_atom_site_fract_x
_atom_site_fract_y
_atom_site_fract_z
La1 0.250 0.000 0.000
Hg1 0.923 0.839 0.316
Hg2 0.077 0.161 0.684
Hg3 0.250 0.500 0.500
Hg4 0.423 0.316 0.839
La2 0.750 0.000 0.000
La3 0.334 0.832 0.500
La4 0.666 0.168 0.500
La5 0.166 0.500 0.168
Hg5 0.761 0.316 0.161
Hg6 0.261 0.161 0.316
Hg7 0.750 0.500 0.500
La6 0.834 0.500 0.832
Hg8 0.577 0.684 0.161
Hg9 0.739 0.839 0.684
Hg10 0.239 0.684 0.839
# - Final energy: -59.35 eV per atom
# - Total magnetization: 0.2 μB per formula unit
# - Energy of formation: -0.580 eV/atom
# - Crystal system: tetragonal


# SCAN LaHg4, PBEsol geometry
data_LaHg4
_symmetry_space_group_name_H-M 'P 1'
_symmetry_Int_Tables_number 1
_cell_length_a 5.029
_cell_length_b 5.506
_cell_length_c 5.506
_cell_angle_alpha 77.96
_cell_angle_beta 62.83
_cell_angle_gamma 62.83
loop_
_symmetry_equiv_pos_as_xyz
'x,y,z'
loop_
_atom_site_label
_atom_site_fract_x
_atom_site_fract_y
_atom_site_fract_z
Hg1 0.450 0.750 0.350
Hg2 0.200 0.350 0.250
La1 0.000 0.000 0.000
Hg3 0.800 0.650 0.750
Hg4 0.550 0.250 0.650
# - Final energy: -63.62 eV per atom
# - Total magnetization: 0.0 μB per formula unit
# - Energy of formation: -0.465 eV/atom
# - Crystal system: tetragonal


# SCAN Li4LaHg, PBEsol geometry
data_Li4LaHg
_symmetry_space_group_name_H-M 'P 1'
_symmetry_Int_Tables_number 1
_cell_length_a 5.502
_cell_length_b 5.502
_cell_length_c 5.502
_cell_angle_alpha 60.00
_cell_angle_beta 60.00
_cell_angle_gamma 60.00
loop_
_symmetry_equiv_pos_as_xyz
'x,y,z'
loop_
_atom_site_label
_atom_site_fract_x
_atom_site_fract_y
_atom_site_fract_z
Li1 0.378 0.867 0.378
Li2 0.867 0.378 0.378
Hg1 0.750 0.750 0.750
La1 0.000 0.000 0.000
Li3 0.378 0.378 0.378
Li4 0.378 0.378 0.867
# - Final energy: -20.34 eV per atom
# - Total magnetization: 0.0 μB per formula unit
# - Energy of formation: -0.202 eV/atom
# - Crystal system: cubic